# 1
Compound: NaCePb3
Source: Alexandria
Functional: PBE
Structure: optimized geometry

The structure belongs to space group P6_3/mmc (No. 194); the cell edges are 7.3966, 7.3966 and 6.5290 Å and the angles 90.00°, 90.00° and 120.00°. Symmetry generates all atoms from Na at (0.0000, 0.0000, 0.0000), Ce at (0.3333, 0.6667, 0.2500) and Pb at (0.1966, 0.3932, 0.7500).

---

# 2
Compound: Na3CePb4
Source: Alexandria
Functional: PBE
Structure: optimized geometry

The structure belongs to space group I4/mmm (No. 139); the cell edges are 5.090, 5.090 and 18.017 Å and the angles 90.00°, 90.00° and 90.00°. Symmetry generates all atoms from Na at (0.000, 0.000, 0.000), Na at (0.000, 0.000, 0.252), Ce at (0.000, 0.000, 0.500) and Pb at (0.000, 0.500, 0.123).

---

# 3
Compound: NaCePb4
Source: Alexandria
Functional: PBE
Structure: optimized geometry

The structure belongs to space group Pm (No. 6); the cell edges are 4.720, 7.253 and 6.048 Å and the angles 90.00°, 90.34° and 90.00°. Symmetry generates all atoms from Na at (0.000, 0.000, 0.000), Ce at (0.507, 0.500, 0.707), Pb at (0.005, 0.217, 0.523) and Pb at (0.502, 0.281, 0.194).

---

# 4
Compound: NaCePb
Source: Alexandria
Functional: PBE
Structure: optimized geometry

The structure belongs to space group P3m1 (No. 156); the cell edges are 5.3327, 5.3327 and 3.5895 Å and the angles 90.00°, 90.00° and 120.00°. Symmetry generates all atoms from Na at (0.0000, 0.0000, 0.0000), Ce at (0.3333, 0.6667, 0.5028) and Pb at (0.6667, 0.3333, 0.0061).

---

# 5
Compound: NaCePdPb
Source: Alexandria
Functional: PBE
Structure: optimized geometry

The structure belongs to space group F-43m (No. 216); the cell edges are 7.348, 7.348 and 7.348 Å and the angles 90.00°, 90.00° and 90.00°. Symmetry generates all atoms from Na at (0.000, 0.000, 0.000), Ce at (0.000, 0.000, 0.500), Pd at (0.250, 0.250, 0.250) and Pb at (0.250, 0.250, 0.750).

---

# 6
Compound: Na2CePb3S6
Source: Alexandria
Functional: PBE
Structure: optimized geometry

The structure belongs to space group C2/m (No. 12); the cell edges are 7.184, 12.403 and 7.239 Å and the angles 90.00°, 108.85° and 90.00°. Symmetry generates all atoms from Na at (0.000, 0.167, 0.000), Ce at (0.000, 0.500, 0.000), Pb at (0.000, 0.000, 0.500), Pb at (0.000, 0.334, 0.500), S at (0.230, 0.500, 0.753) and S at (0.234, 0.345, 0.232).

---

# 7
Compound: NaCePb2Se4
Source: Alexandria
Functional: PBE
Structure: optimized geometry

The structure belongs to space group P2/m (No. 10); the cell edges are 7.420, 4.347 and 7.565 Å and the angles 90.00°, 108.71° and 90.00°. Symmetry generates all atoms from Na at (0.000, 0.000, 0.000), Ce at (0.500, 0.500, 0.000), Pb at (0.000, 0.500, 0.500), Pb at (0.500, 0.000, 0.500), Se at (0.256, 0.500, 0.241) and Se at (0.258, 0.000, 0.763).

---

# 8
Compound: Na4Ce3PbSe8
Source: Alexandria
Functional: PBE
Structure: optimized geometry

The structure belongs to space group R-3m (No. 166, hexagonal axes); the cell edges are 8.6326, 8.6326 and 20.7955 Å and the angles 90.00°, 90.00° and 120.00°. Symmetry generates all atoms from Na at (0.0000, 0.0000, 0.0000), Na at (0.0000, 0.5000, 0.0000), Ce at (0.0000, 0.5000, 0.5000), Pb at (0.0000, 0.0000, 0.5000), Se at (0.0000, 0.0000, 0.2448) and Se at (0.0129, 0.5064, 0.7551).

---

# 9
Compound: Na2CePbSe4
Source: Alexandria
Functional: PBE
Structure: optimized geometry

The structure belongs to space group P2/m (No. 10); the cell edges are 7.335, 4.299 and 7.504 Å and the angles 90.00°, 109.30° and 90.00°. Symmetry generates all atoms from Na at (0.000, 0.000, 0.000), Na at (0.000, 0.500, 0.500), Ce at (0.500, 0.000, 0.500), Pb at (0.500, 0.500, 0.000), Se at (0.263, 0.000, 0.732) and Se at (0.268, 0.500, 0.271).

---

# 10
Compound: Na3CePb2Se6
Source: Alexandria
Functional: PBE
Structure: optimized geometry

The structure belongs to space group C2/m (No. 12); the cell edges are 7.405, 12.812 and 7.440 Å and the angles 90.00°, 109.46° and 90.00°. Symmetry generates all atoms from Na at (0.000, 0.000, 0.000), Na at (0.000, 0.326, 0.000), Ce at (0.000, 0.500, 0.500), Pb at (0.000, 0.165, 0.500), Se at (0.237, 0.500, 0.261) and Se at (0.238, 0.341, 0.739).

---

# 11
Compound: NaCeSnPb
Source: Alexandria
Functional: PBE
Structure: optimized geometry

The structure belongs to space group Pmmm (No. 47); the cell edges are 4.548, 4.894 and 4.996 Å and the angles 90.00°, 90.00° and 90.00°. Symmetry generates all atoms from Na at (0.000, 0.000, 0.000), Ce at (0.000, 0.500, 0.500), Sn at (0.500, 0.000, 0.500) and Pb at (0.500, 0.500, 0.000).

---

# 12
Compound: NaCeSnPb
Source: Alexandria
Functional: PBE
Structure: optimized geometry

The structure belongs to space group F-43m (No. 216); the cell edges are 7.677, 7.677 and 7.677 Å and the angles 90.00°, 90.00° and 90.00°. Symmetry generates all atoms from Na at (0.000, 0.000, 0.000), Ce at (0.000, 0.000, 0.500), Sn at (0.250, 0.250, 0.750) and Pb at (0.250, 0.250, 0.250).

---

no.,E (eV per atom)
1,-3.7428
2,-3.2905
3,-3.7679
4,-3.7597
5,-4.3072
6,-4.7497
7,-4.6368
8,-4.8622
9,-4.4977
10,-4.2113
11,-4.1122
12,-4.0361